[1]
This record from Alexandria describes CuRh3O6 after structural relaxation. The functional is PBE.

Output
**Theoretical density**: 7.19 g cm⁻³
**E_form (uncorrected)**: -61 kJ per mole of atoms
**Calculated volume**: 10.81 Å³/atom
**Space-group type**: R3

Lattice parameters (Å, degrees): 5.526 5.526 5.526 55.94 55.94 55.94
Sites, in units of the cell vectors:
Cu  0.000  0.000  0.000
Rh  0.204  0.204  0.204
Rh  0.511  0.511  0.511
Rh  0.710  0.710  0.710
O  0.111  0.802  0.416
O  0.310  0.604  0.912
O  0.416  0.111  0.802
O  0.604  0.912  0.310
O  0.802  0.416  0.111
O  0.912  0.310  0.604



[2]
This record from Alexandria describes Cu2RhO6 after structural relaxation. The functional is PBE.

Output
**Theoretical density**: 5.32 g cm⁻³
**E_form (uncorrected)**: -23 kJ per mole of atoms
**Calculated volume**: 11.31 Å³/atom
**Space-group type**: C2/m

Lattice parameters (Å, degrees): 4.979 4.979 6.686 106.88 106.88 40.23
Sites, in units of the cell vectors:
Cu  0.199  0.199  0.144
Cu  0.801  0.801  0.856
Rh  0.000  0.000  0.500
O  0.035  0.035  0.244
O  0.323  0.323  0.954
O  0.367  0.367  0.414
O  0.633  0.633  0.586
O  0.677  0.677  0.046
O  0.965  0.965  0.756



[3]
This record from Alexandria describes Cu2Rh2O7 after structural relaxation. The functional is PBE.

Output
**Theoretical density**: 5.37 g cm⁻³
**E_form (uncorrected)**: -39 kJ per mole of atoms
**Calculated volume**: 12.51 Å³/atom
**Space-group type**: C2/m

Lattice parameters (Å, degrees): 5.380 5.380 5.289 94.18 94.18 114.86
Sites, in units of the cell vectors:
Cu  0.234  0.234  0.112
Cu  0.766  0.766  0.888
Rh  0.181  0.819  0.500
Rh  0.819  0.181  0.500
O  0.070  0.070  0.741
O  0.082  0.460  0.302
O  0.460  0.082  0.302
O  0.500  0.500  0.000
O  0.540  0.918  0.698
O  0.918  0.540  0.698
O  0.930  0.930  0.259



[4]
This record from Alexandria describes CuRhO3 after structural relaxation. The functional is PBE.

Output
**Theoretical density**: 6.59 g cm⁻³
**E_form (uncorrected)**: -63 kJ per mole of atoms
**Calculated volume**: 10.81 Å³/atom
**Space-group type**: Cmmm

Lattice parameters (Å, degrees): 6.047 6.047 3.112 90.00 90.00 108.30
Sites, in units of the cell vectors:
Cu  0.000  0.000  0.000
Cu  0.500  0.500  0.000
Rh  0.000  0.500  0.500
Rh  0.500  0.000  0.500
O  0.139  0.861  0.500
O  0.179  0.438  0.000
O  0.438  0.179  0.000
O  0.562  0.821  0.000
O  0.821  0.562  0.000
O  0.861  0.139  0.500



[5]
This record from Alexandria describes CuRuRhO6 after structural relaxation. The functional is PBE.

Output
**Theoretical density**: 6.23 g cm⁻³
**E_form (uncorrected)**: -60 kJ per mole of atoms
**Calculated volume**: 10.77 Å³/atom
**Space-group type**: P-31c

Lattice parameters (Å, degrees): 5.062 5.062 8.734 90.00 90.00 120.00
Sites, in units of the cell vectors:
Cu  0.000  0.000  0.000
Cu  0.000  0.000  0.500
Ru  0.333  0.667  0.250
Ru  0.667  0.333  0.750
Rh  0.333  0.667  0.750
Rh  0.667  0.333  0.250
O  0.007  0.358  0.125
O  0.007  0.649  0.375
O  0.351  0.358  0.375
O  0.351  0.993  0.125
O  0.358  0.007  0.625
O  0.358  0.351  0.875
O  0.642  0.649  0.125
O  0.642  0.993  0.375
O  0.649  0.007  0.875
O  0.649  0.642  0.625
O  0.993  0.351  0.625
O  0.993  0.642  0.875



[6]
This record from Alexandria describes CuRhSO after structural relaxation. The functional is PBE.

Output
**Theoretical density**: 6.75 g cm⁻³
**E_form (uncorrected)**: 4 kJ per mole of atoms
**Calculated volume**: 13.19 Å³/atom
**Space-group type**: P4/nmm

Lattice parameters (Å, degrees): 3.584 3.584 8.217 90.00 90.00 90.00
Sites, in units of the cell vectors:
Cu  0.250  0.750  0.000
Cu  0.750  0.250  0.000
Rh  0.250  0.250  0.360
Rh  0.750  0.750  0.640
S  0.250  0.250  0.806
S  0.750  0.750  0.194
O  0.250  0.750  0.500
O  0.750  0.250  0.500



[7]
This record from Alexandria describes Cu2SbRhO6 after structural relaxation. The functional is PBE.

Output
**Theoretical density**: 6.73 g cm⁻³
**E_form (uncorrected)**: -76 kJ per mole of atoms
**Calculated volume**: 11.04 Å³/atom
**Space-group type**: R3

Lattice parameters (Å, degrees): 5.551 5.551 5.551 56.24 56.24 56.24
Sites, in units of the cell vectors:
Cu  0.000  0.000  0.000
Cu  0.497  0.497  0.497
Sb  0.204  0.204  0.204
Rh  0.701  0.701  0.701
O  0.096  0.412  0.809
O  0.303  0.914  0.597
O  0.412  0.809  0.096
O  0.597  0.303  0.914
O  0.809  0.096  0.412
O  0.914  0.597  0.303



[8]
This record from Alexandria describes CuSbRhO6 after structural relaxation. The functional is PBE.

Output
**Theoretical density**: 6.27 g cm⁻³
**E_form (uncorrected)**: -75 kJ per mole of atoms
**Calculated volume**: 11.31 Å³/atom
**Space-group type**: P-31c

Lattice parameters (Å, degrees): 5.186 5.186 8.738 90.00 90.00 120.00
Sites, in units of the cell vectors:
Cu  0.000  0.000  0.000
Cu  0.000  0.000  0.500
Sb  0.333  0.667  0.250
Sb  0.667  0.333  0.750
Rh  0.333  0.667  0.750
Rh  0.667  0.333  0.250
O  0.005  0.351  0.626
O  0.005  0.654  0.874
O  0.346  0.351  0.874
O  0.346  0.995  0.626
O  0.351  0.005  0.126
O  0.351  0.346  0.374
O  0.649  0.654  0.626
O  0.649  0.995  0.874
O  0.654  0.005  0.374
O  0.654  0.649  0.126
O  0.995  0.346  0.126
O  0.995  0.649  0.374